# Na4Pm3PbO8 | Alexandria | PBE | optimized geometry
# Formation energy from raw total energies   -2.2706 eV/atom
# Crystal system   trigonal
# Magnetic moment   0.0 μB per cell
# Theoretical density   5.809 Mg/m³
data_Na4Pm3PbO8
_chemical_formula_sum 'Na12 Pm9 Pb3 O24'
_cell_length_a 7.0850
_cell_length_b 7.0850
_cell_length_c 17.0058
_cell_angle_alpha 90.00
_cell_angle_beta 90.00
_cell_angle_gamma 120.00
_space_group_name_H-M_alt 'R -3 m'
_space_group_IT_number 166
_space_group_name_Hall '-R 3 2"'
loop_
_atom_site_label
_atom_site_fract_x
_atom_site_fract_y
_atom_site_fract_z
Na1 0.0000 0.0000 0.0000
Na2 0.0000 0.5000 0.0000
Pm1 0.0000 0.5000 0.5000
Pb1 0.0000 0.0000 0.5000
O1 0.0000 0.0000 0.2375
O2 0.0056 0.5028 0.7592